Compound: VF3
Source: Alexandria
Functional: GGA+U
Structure: optimized geometry

Lattice parameters (Å, degrees): 5.4749 7.6150 5.2741 90.00 90.00 90.00
Closest atoms and distances in Å follow each position.
Atoms (fractional coordinates):
V1 0.0000 0.0000 0.0000  6 F 1.98
V2 0.0000 0.5000 0.0000  6 F 1.98
V3 0.5000 0.0000 0.5000  6 F 1.98
V4 0.5000 0.5000 0.5000  6 F 1.98
F1 0.0223 0.2500 0.0993  2 V 1.98
F2 0.2007 0.0496 0.6968  2 V 1.98
F3 0.2007 0.4504 0.6968  2 V 1.98
F4 0.2993 0.5496 0.1968  2 V 1.98
F5 0.2993 0.9504 0.1968  2 V 1.98
F6 0.4777 0.7500 0.5994  2 V 1.98
F7 0.5223 0.2500 0.4006  2 V 1.98
F8 0.7007 0.0496 0.8032  2 V 1.98
F9 0.7007 0.4504 0.8032  2 V 1.98
F10 0.7993 0.5496 0.3032  2 V 1.98
F11 0.7993 0.9504 0.3032  2 V 1.98
F12 0.9777 0.7500 0.9006  2 V 1.98

Summary:
DFT total energy, eV/atom: -6.14
ρ, Mg/m³: 3.260
Symmetry: No. 62
Size of the total moment, μB per cell: 8.0